# 1
Compound: GdTiClO3
Source: Alexandria
Functional: PBEsol
Structure: relaxed

Calculated values
V (Å³/atom): 14.97
ΔE_f (raw) (eV/atom): -3.0936

a = 9.7237 Å, b = 3.9027 Å, c = 9.8854 Å
α = 90.00°, β = 106.75°, γ = 90.00°
Space group C2/m (No. 12)
Inequivalent atoms, fractional coordinates:
Gd (0.2199, 0.0000, 0.2027) (multiplicity 4)
Ti (0.1201, 0.5000, 0.4324) (multiplicity 4)
Cl (0.1126, 0.0000, 0.9029) (multiplicity 4)
O (0.0780, 0.5000, 0.6233) (multiplicity 4)
O (0.1481, 0.5000, 0.2532) (multiplicity 4)
O (0.1677, 0.0000, 0.4365) (multiplicity 4)

# 2
Compound: CsAlSnW2
Source: Alexandria
Functional: PBEsol
Structure: relaxed

Calculated values
V (Å³/atom): 26.30
Formation enthalpy at 0 K (eV/atom): 3.333

a = 4.9878 Å, b = 4.9878 Å, c = 5.2864 Å
α = 90.00°, β = 90.00°, γ = 90.00°
Space group P4/mmm (No. 123)
Inequivalent atoms, fractional coordinates:
Cs (0.0000, 0.0000, 0.0000) (multiplicity 1)
Al (0.0000, 0.0000, 0.5000) (multiplicity 1)
Sn (0.5000, 0.5000, 0.5000) (multiplicity 1)
W (0.0000, 0.5000, 0.0000) (multiplicity 2)

# 3
Compound: CaIr2Ru
Source: Alexandria
Functional: PBEsol
Structure: relaxed

Calculated values
V (Å³/atom): 15.58
Formation enthalpy at 0 K (eV/atom): 0.404

a = 2.7807 Å, b = 2.7807 Å, c = 27.9160 Å
α = 90.00°, β = 90.00°, γ = 120.00°
Space group R3m (No. 160, hexagonal axes)
Inequivalent atoms, fractional coordinates:
Ca (0.0000, 0.0000, 0.0000) (multiplicity 3)
Ir (0.0000, 0.0000, 0.2452) (multiplicity 3)
Ir (0.0000, 0.0000, 0.4990) (multiplicity 3)
Ru (0.0000, 0.0000, 0.7577) (multiplicity 3)

# 4
Compound: CsLaSiTc2
Source: Alexandria
Functional: PBEsol
Structure: relaxed

Calculated values
V (Å³/atom): 25.11
ΔE_f (raw) (eV/atom): 2.2210

a = 4.8528 Å, b = 4.8528 Å, c = 5.3314 Å
α = 90.00°, β = 90.00°, γ = 90.00°
Space group P4/mmm (No. 123)
Inequivalent atoms, fractional coordinates:
Cs (0.0000, 0.0000, 0.0000) (multiplicity 1)
La (0.5000, 0.5000, 0.5000) (multiplicity 1)
Si (0.0000, 0.0000, 0.5000) (multiplicity 1)
Tc (0.0000, 0.5000, 0.0000) (multiplicity 2)